Entry 1:
Crystalline NaErPb at its relaxed geometry. Source: Alexandria, functional PBE.

## Properties
The electronic total energy comes out at -3.27 eV per atom. The calculation puts the total moment at 0.2 μB per formula unit. For the calculated formation energy, the calculation gives -0.078 eV per atom. The calculation puts the density of states at the Fermi level at 1.932 states/eV per cell.

```
data_NaErPb
_cell_length_a 7.9272
_cell_length_b 7.9272
_cell_length_c 7.9272
_cell_angle_alpha 154.76
_cell_angle_beta 154.76
_cell_angle_gamma 36.00
_symmetry_space_group_name_H-M 'P 1'
_symmetry_Int_Tables_number 1
loop_
_symmetry_equiv_pos_as_xyz
'x,y,z'
loop_
_atom_site_label
_atom_site_type_symbol
_atom_site_fract_x
_atom_site_fract_y
_atom_site_fract_z
Na1 Na 0.0000 0.0000 0.0000
Er1 Er 0.6954 0.6954 0.0000
Pb1 Pb 0.3428 0.3428 0.0000
```



Entry 2:
Crystalline Na2ErPb3 at its relaxed geometry. Source: Alexandria, functional PBE.

## Properties
The electronic total energy comes out at -3.29 eV per atom. The calculation puts the total moment at 0.0 μB per formula unit. For the calculated formation energy, the calculation gives -0.240 eV per atom. The calculation puts the density of states at the Fermi level at 5.024 states/eV per cell.

```
data_Na2ErPb3
_cell_length_a 8.6257
_cell_length_b 8.6257
_cell_length_c 7.7094
_cell_angle_alpha 90.00
_cell_angle_beta 90.00
_cell_angle_gamma 143.51
_symmetry_space_group_name_H-M 'P 1'
_symmetry_Int_Tables_number 1
loop_
_symmetry_equiv_pos_as_xyz
'x,y,z'
loop_
_atom_site_label
_atom_site_type_symbol
_atom_site_fract_x
_atom_site_fract_y
_atom_site_fract_z
Na1 Na 0.0000 0.0000 0.0000
Na2 Na 0.0000 0.0000 0.5000
Na3 Na 0.3346 0.6654 0.0000
Na4 Na 0.6654 0.3346 0.0000
Er1 Er 0.3403 0.6597 0.5000
Er2 Er 0.6597 0.3403 0.5000
Pb1 Pb 0.1681 0.8323 0.2602
Pb2 Pb 0.1677 0.8319 0.7398
Pb3 Pb 0.4989 0.4989 0.7474
Pb4 Pb 0.5011 0.5011 0.2526
Pb5 Pb 0.8323 0.1681 0.2602
Pb6 Pb 0.8319 0.1677 0.7398
```



Entry 3:
Crystalline Na3ErPb4 at its relaxed geometry. Source: Alexandria, functional PBE.

## Properties
The electronic total energy comes out at -3.14 eV per atom. The calculation puts the total moment at 0.0 μB per formula unit. For the calculated formation energy, the calculation gives -0.221 eV per atom. The calculation puts the density of states at the Fermi level at 1.485 states/eV per cell.

```
data_Na3ErPb4
_cell_length_a 9.6959
_cell_length_b 9.6959
_cell_length_c 9.6959
_cell_angle_alpha 150.06
_cell_angle_beta 150.06
_cell_angle_gamma 42.86
_symmetry_space_group_name_H-M 'P 1'
_symmetry_Int_Tables_number 1
loop_
_symmetry_equiv_pos_as_xyz
'x,y,z'
loop_
_atom_site_label
_atom_site_type_symbol
_atom_site_fract_x
_atom_site_fract_y
_atom_site_fract_z
Na1 Na 0.0000 0.0000 0.0000
Na2 Na 0.2517 0.2517 0.0000
Na3 Na 0.7483 0.7483 0.0000
Er1 Er 0.5000 0.5000 0.0000
Pb1 Pb 0.1201 0.6201 0.5000
Pb2 Pb 0.3799 0.8799 0.5000
Pb3 Pb 0.6201 0.1201 0.5000
Pb4 Pb 0.8799 0.3799 0.5000
```



Entry 4:
Crystalline NaErPb at its relaxed geometry. Source: Alexandria, functional PBE.

## Properties
The electronic total energy comes out at -3.32 eV per atom. The calculation puts the total moment at 0.0 μB per formula unit. For the calculated formation energy, the calculation gives -0.122 eV per atom. The calculation puts the density of states at the Fermi level at 1.693 states/eV per cell.

```
data_NaErPb
_cell_length_a 9.2956
_cell_length_b 9.2956
_cell_length_c 9.2956
_cell_angle_alpha 32.14
_cell_angle_beta 32.14
_cell_angle_gamma 32.14
_symmetry_space_group_name_H-M 'P 1'
_symmetry_Int_Tables_number 1
loop_
_symmetry_equiv_pos_as_xyz
'x,y,z'
loop_
_atom_site_label
_atom_site_type_symbol
_atom_site_fract_x
_atom_site_fract_y
_atom_site_fract_z
Na1 Na 0.1309 0.1309 0.1309
Na2 Na 0.8691 0.8691 0.8691
Er1 Er 0.2899 0.2899 0.2899
Er2 Er 0.7101 0.7101 0.7101
Pb1 Pb 0.4120 0.4120 0.4120
Pb2 Pb 0.5880 0.5880 0.5880
```



Entry 5:
Crystalline NaErPb3 at its relaxed geometry. Source: Alexandria, functional PBE.

## Properties
The electronic total energy comes out at -3.43 eV per atom. As for the energy above the most stable polymorph in this dataset: 163 meV/atom. The calculation puts the total moment at 0.0 μB per formula unit. For the calculated formation energy, the calculation gives -0.029 eV per atom. The calculation puts the density of states at the Fermi level at 2.556 states/eV per cell.

```
data_NaErPb3
_cell_length_a 7.1662
_cell_length_b 7.1662
_cell_length_c 6.2738
_cell_angle_alpha 90.00
_cell_angle_beta 90.00
_cell_angle_gamma 108.10
_symmetry_space_group_name_H-M 'P 1'
_symmetry_Int_Tables_number 1
loop_
_symmetry_equiv_pos_as_xyz
'x,y,z'
loop_
_atom_site_label
_atom_site_type_symbol
_atom_site_fract_x
_atom_site_fract_y
_atom_site_fract_z
Na1 Na 0.0000 0.0000 0.0000
Na2 Na 0.0000 0.0000 0.5000
Er1 Er 0.3014 0.6986 0.7500
Er2 Er 0.6986 0.3014 0.2500
Pb1 Pb 0.2220 0.7780 0.2500
Pb2 Pb 0.2548 0.3640 0.2500
Pb3 Pb 0.3640 0.2548 0.7500
Pb4 Pb 0.6360 0.7452 0.2500
Pb5 Pb 0.7452 0.6360 0.7500
Pb6 Pb 0.7780 0.2220 0.7500
```



Entry 6:
Crystalline Na2ErPb at its relaxed geometry. Source: Alexandria, functional PBE.

## Properties
The electronic total energy comes out at -2.57 eV per atom. The calculation puts the total moment at 0.0 μB per formula unit. For the calculated formation energy, the calculation gives 0.161 eV per atom. The calculation puts the density of states at the Fermi level at 3.301 states/eV per cell.

```
data_Na2ErPb
_cell_length_a 12.6396
_cell_length_b 12.6396
_cell_length_c 12.6396
_cell_angle_alpha 15.58
_cell_angle_beta 15.58
_cell_angle_gamma 15.58
_symmetry_space_group_name_H-M 'P 1'
_symmetry_Int_Tables_number 1
loop_
_symmetry_equiv_pos_as_xyz
'x,y,z'
loop_
_atom_site_label
_atom_site_type_symbol
_atom_site_fract_x
_atom_site_fract_y
_atom_site_fract_z
Na1 Na 0.0908 0.0908 0.0908
Na2 Na 0.9092 0.9092 0.9092
Er1 Er 0.0000 0.0000 0.0000
Pb1 Pb 0.5000 0.5000 0.5000
```



Entry 7:
Crystalline NaEr2Pb at its relaxed geometry. Source: Alexandria, functional PBE.

## Properties
The electronic total energy comes out at -3.67 eV per atom. The calculation puts the total moment at 0.4 μB per formula unit. For the calculated formation energy, the calculation gives -0.136 eV per atom. The calculation puts the density of states at the Fermi level at 2.656 states/eV per cell.

```
data_NaEr2Pb
_cell_length_a 4.9512
_cell_length_b 4.9512
_cell_length_c 4.5254
_cell_angle_alpha 90.00
_cell_angle_beta 90.00
_cell_angle_gamma 90.00
_symmetry_space_group_name_H-M 'P 1'
_symmetry_Int_Tables_number 1
loop_
_symmetry_equiv_pos_as_xyz
'x,y,z'
loop_
_atom_site_label
_atom_site_type_symbol
_atom_site_fract_x
_atom_site_fract_y
_atom_site_fract_z
Na1 Na 0.0000 0.0000 0.0000
Er1 Er 0.0000 0.5000 0.5000
Er2 Er 0.5000 0.0000 0.5000
Pb1 Pb 0.5000 0.5000 0.0000
```



Entry 8:
Crystalline Na6ErPb12 at its relaxed geometry. Source: Alexandria, functional PBE.

## Properties
The electronic total energy comes out at -3.07 eV per atom. The calculation puts the total moment at 0.0 μB per formula unit. For the calculated formation energy, the calculation gives -0.067 eV per atom. The calculation puts the density of states at the Fermi level at 10.894 states/eV per cell.

```
data_Na6ErPb12
_cell_length_a 8.8788
_cell_length_b 8.8788
_cell_length_c 8.8788
_cell_angle_alpha 105.90
_cell_angle_beta 105.90
_cell_angle_gamma 105.90
_symmetry_space_group_name_H-M 'P 1'
_symmetry_Int_Tables_number 1
loop_
_symmetry_equiv_pos_as_xyz
'x,y,z'
loop_
_atom_site_label
_atom_site_type_symbol
_atom_site_fract_x
_atom_site_fract_y
_atom_site_fract_z
Na1 Na 0.0273 0.3012 0.4224
Na2 Na 0.3012 0.4224 0.0273
Na3 Na 0.4224 0.0273 0.3012
Na4 Na 0.5776 0.9727 0.6988
Na5 Na 0.6988 0.5776 0.9727
Na6 Na 0.9727 0.6988 0.5776
Er1 Er 0.5000 0.5000 0.5000
Pb1 Pb 0.0346 0.9089 0.3168
Pb2 Pb 0.0911 0.6832 0.9654
Pb3 Pb 0.2243 0.6492 0.3548
Pb4 Pb 0.3168 0.0346 0.9089
Pb5 Pb 0.3508 0.6452 0.7757
Pb6 Pb 0.3548 0.2243 0.6492
Pb7 Pb 0.6452 0.7757 0.3508
Pb8 Pb 0.6492 0.3548 0.2243
Pb9 Pb 0.6832 0.9654 0.0911
Pb10 Pb 0.7757 0.3508 0.6452
Pb11 Pb 0.9089 0.3168 0.0346
Pb12 Pb 0.9654 0.0911 0.6832
```